Crystalline RbHRh2 at its relaxed geometry. Source: Alexandria via LeMat-Bulk, functional PBE-GGA.

As for the excess energy over the best structure of this formula in the dataset: 0 meV/atom. The total magnetic moment is 0.90 μB/f.u. The calculation puts the total energy at -140.4 eV for the cell shown.

The structure belongs to space group Fd-3m (No. 227, origin choice 2); the cell edges are 8.2286, 8.2286 and 8.2286 Å and the angles 90.00°, 90.00° and 90.00°. The asymmetric unit holds Rb at (0.1250, 0.1250, 0.1250), H at (0.1250, 0.1250, 0.6250) and Rh at (0.0000, 0.0000, 0.5000).